A relaxed AlNiBO4 crystal, computed with GGA+U.

Results
E ... -6.850 eV per atom
Space-group type ... Cmcm, No. 63
Size of the total moment ... 4.0 μB per cell
Theoretical density ... 4.27 g cm⁻³

Lattice parameters (Å, degrees): 4.918 4.918 5.585 90.00 90.00 112.34
Positions (direct):
Al 0.146 0.854 0.750
Al 0.854 0.146 0.250
Ni 0.500 0.500 0.000
Ni 0.500 0.500 0.500
B 0.149 0.851 0.250
B 0.851 0.149 0.750
O 0.193 0.239 0.750
O 0.239 0.193 0.250
O 0.246 0.754 0.033
O 0.246 0.754 0.467
O 0.754 0.246 0.533
O 0.754 0.246 0.967
O 0.761 0.807 0.750
O 0.807 0.761 0.250